This record from Alexandria via LeMat-Bulk describes crystalline Ac12NdY3 at its relaxed geometry. The functional is PBE.

## Properties
Size of the total moment   0.00 μB/cell
V   668 Å³/cell
VASP energy   -73.02 eV per cell

abc: 5.508 5.508 22.008
angles: 90.00 90.00 90.00
Element x y z (fractional)
Ac 0.000 0.000 0.000
Ac 0.000 0.000 0.249
Ac 0.000 0.000 0.500
Ac 0.000 0.000 0.751
Ac 0.000 0.500 0.125
Ac 0.000 0.500 0.374
Ac 0.000 0.500 0.626
Ac 0.000 0.500 0.875
Ac 0.500 0.000 0.125
Ac 0.500 0.000 0.374
Ac 0.500 0.000 0.626
Ac 0.500 0.000 0.875
Nd 0.500 0.500 0.500
Y 0.500 0.500 0.000
Y 0.500 0.500 0.249
Y 0.500 0.500 0.751